Record 1
NbGaNiHg | PBE | relaxed

Structure (CIF):
```
data_NbGaNiHg
_symmetry_space_group_name_H-M 'P 1'
_symmetry_Int_Tables_number 1
_symmetry_space_group_name_Hall 'P 1'
_cell_length_a 4.5224
_cell_length_b 4.5224
_cell_length_c 4.5224
_cell_angle_alpha 60.00
_cell_angle_beta 60.00
_cell_angle_gamma 60.00
loop_
_atom_site_label
_atom_site_type_symbol
_atom_site_fract_x
_atom_site_fract_y
_atom_site_fract_z
Nb1 Nb 0.2500 0.2500 0.2500
Ni1 Ni 0.7500 0.7500 0.7500
Hg1 Hg 0.5000 0.5000 0.5000
Ga1 Ga 0.0000 0.0000 0.0000
```



Record 2
LaThGa | PBE | relaxed

Structure (CIF):
```
data_LaThGa
_symmetry_space_group_name_H-M 'P 1'
_symmetry_Int_Tables_number 1
_symmetry_space_group_name_Hall 'P 1'
_cell_length_a 5.0910
_cell_length_b 5.0910
_cell_length_c 5.0910
_cell_angle_alpha 60.00
_cell_angle_beta 60.00
_cell_angle_gamma 60.00
loop_
_atom_site_label
_atom_site_type_symbol
_atom_site_fract_x
_atom_site_fract_y
_atom_site_fract_z
La1 La 0.2500 0.2500 0.2500
Ga1 Ga 0.0000 0.0000 0.0000
Th1 Th 0.7500 0.7500 0.7500
```



Record 3
Cs2Dy2SO3 | PBE | relaxed

Structure (CIF):
```
data_Cs2Dy2SO3
_symmetry_space_group_name_H-M 'P 1'
_symmetry_Int_Tables_number 1
_symmetry_space_group_name_Hall 'P 1'
_cell_length_a 3.6385
_cell_length_b 3.6385
_cell_length_c 14.2402
_cell_angle_alpha 90.00
_cell_angle_beta 90.00
_cell_angle_gamma 120.00
loop_
_atom_site_label
_atom_site_type_symbol
_atom_site_fract_x
_atom_site_fract_y
_atom_site_fract_z
S1 S 0.3333 0.6667 0.0932
Cs1 Cs 0.6667 0.3333 0.2677
Cs2 Cs 0.3333 0.6667 0.7381
O1 O 0.6667 0.3333 0.5860
O2 O 0.6667 0.3333 0.9029
O3 O 0.3333 0.6667 0.4318
Dy1 Dy 0.0000 0.0000 0.5053
Dy2 Dy 0.0000 0.0000 0.9749
```



Record 4
# TbU2Ni9 PBE relaxed
# Calculated formation energy ... -0.3135 eV/atom
data_TbU2Ni9
_symmetry_space_group_name_H-M 'P 1'
_symmetry_Int_Tables_number 1
_symmetry_space_group_name_Hall 'P 1'
_cell_length_a 8.6204
_cell_length_b 8.6204
_cell_length_c 8.6204
_cell_angle_alpha 32.71
_cell_angle_beta 32.71
_cell_angle_gamma 32.71
loop_
_atom_site_label
_atom_site_type_symbol
_atom_site_fract_x
_atom_site_fract_y
_atom_site_fract_z
Ni1 Ni 0.5835 0.5835 0.0829
Ni2 Ni 0.3330 0.3330 0.3330
Ni3 Ni 0.4165 0.4165 0.9171
Ni4 Ni 0.5000 0.5000 0.5000
Ni5 Ni 0.4165 0.9171 0.4165
Ni6 Ni 0.6670 0.6670 0.6670
Ni7 Ni 0.5835 0.0829 0.5835
Ni8 Ni 0.9171 0.4165 0.4165
Ni9 Ni 0.0829 0.5835 0.5835
U1 U 0.1418 0.1418 0.1418
U2 U 0.8582 0.8582 0.8582
Tb1 Tb 0.0000 0.0000 0.0000



Record 5
ZnCO3 | PBE | relaxed

Structure (CIF):
```
data_ZnCO3
_symmetry_space_group_name_H-M 'P 1'
_symmetry_Int_Tables_number 1
_symmetry_space_group_name_Hall 'P 1'
_cell_length_a 5.0860
_cell_length_b 5.0860
_cell_length_c 3.5509
_cell_angle_alpha 90.00
_cell_angle_beta 90.00
_cell_angle_gamma 111.21
loop_
_atom_site_label
_atom_site_type_symbol
_atom_site_fract_x
_atom_site_fract_y
_atom_site_fract_z
C1 C 0.6512 0.6512 0.5000
C2 C 0.3488 0.3488 0.0000
O1 O 0.1016 0.3428 0.1524
O2 O 0.8984 0.6572 0.6524
O3 O 0.5829 0.4171 0.2500
O4 O 0.6572 0.8984 0.3476
O5 O 0.3428 0.1016 0.8476
O6 O 0.4171 0.5829 0.7500
Zn1 Zn 0.2034 0.7966 0.2500
Zn2 Zn 0.7966 0.2034 0.7500
```



Record 6
ZrFeSi | PBE | relaxed

Structure (CIF):
```
data_ZrFeSi
_symmetry_space_group_name_H-M 'P 1'
_symmetry_Int_Tables_number 1
_symmetry_space_group_name_Hall 'P 1'
_cell_length_a 4.9104
_cell_length_b 3.9849
_cell_length_c 9.5441
_cell_angle_alpha 90.00
_cell_angle_beta 90.00
_cell_angle_gamma 90.00
loop_
_atom_site_label
_atom_site_type_symbol
_atom_site_fract_x
_atom_site_fract_y
_atom_site_fract_z
Zr1 Zr 0.3866 0.2500 0.3728
Zr2 Zr 0.8866 0.2500 0.1272
Zr3 Zr 0.1134 0.7500 0.8728
Zr4 Zr 0.6134 0.7500 0.6272
Si1 Si 0.6527 0.2500 0.8415
Si2 Si 0.1527 0.2500 0.6585
Si3 Si 0.8473 0.7500 0.3415
Si4 Si 0.3473 0.7500 0.1585
Fe1 Fe 0.6219 0.7500 0.9498
Fe2 Fe 0.1219 0.7500 0.5502
Fe3 Fe 0.3781 0.2500 0.0502
Fe4 Fe 0.8781 0.2500 0.4498
```



Record 7
CsInPdSe3 | PBE | relaxed

Structure (CIF):
```
data_CsInPdSe3
_symmetry_space_group_name_H-M 'P 1'
_symmetry_Int_Tables_number 1
_symmetry_space_group_name_Hall 'P 1'
_cell_length_a 15.4891
_cell_length_b 4.3538
_cell_length_c 11.4634
_cell_angle_alpha 90.00
_cell_angle_beta 90.00
_cell_angle_gamma 90.00
loop_
_atom_site_label
_atom_site_type_symbol
_atom_site_fract_x
_atom_site_fract_y
_atom_site_fract_z
Pd1 Pd 0.5229 0.2500 0.0775
Pd2 Pd 0.9771 0.7500 0.5775
Pd3 Pd 0.0229 0.2500 0.4225
Pd4 Pd 0.4771 0.7500 0.9225
Se1 Se 0.4583 0.7500 0.1384
Se2 Se 0.3867 0.7500 0.7438
Se3 Se 0.9583 0.7500 0.3616
Se4 Se 0.5417 0.2500 0.8616
Se5 Se 0.0923 0.7500 0.9207
Se6 Se 0.0417 0.2500 0.6384
Se7 Se 0.8867 0.7500 0.7563
Se8 Se 0.5923 0.7500 0.5793
Se9 Se 0.9077 0.2500 0.0793
Se10 Se 0.6133 0.2500 0.2562
Se11 Se 0.4077 0.2500 0.4207
Se12 Se 0.1133 0.2500 0.2438
Cs1 Cs 0.2732 0.2500 0.9716
Cs2 Cs 0.2268 0.7500 0.4716
Cs3 Cs 0.7732 0.2500 0.5284
Cs4 Cs 0.7268 0.7500 0.0284
In1 In 0.0256 0.7500 0.1342
In2 In 0.9744 0.2500 0.8658
In3 In 0.5256 0.7500 0.3658
In4 In 0.4744 0.2500 0.6342
```



Record 8
YHo2TmGa4 | PBE | relaxed

Structure (CIF):
```
data_YHo2TmGa4
_symmetry_space_group_name_H-M 'P 1'
_symmetry_Int_Tables_number 1
_symmetry_space_group_name_Hall 'P 1'
_cell_length_a 6.5899
_cell_length_b 6.9301
_cell_length_c 6.9301
_cell_angle_alpha 36.35
_cell_angle_beta 90.00
_cell_angle_gamma 90.00
loop_
_atom_site_label
_atom_site_type_symbol
_atom_site_fract_x
_atom_site_fract_y
_atom_site_fract_z
Ga1 Ga 0.6959 0.9019 0.9019
Ga2 Ga 0.8027 0.0983 0.0983
Ga3 Ga 0.1973 0.0983 0.0983
Ga4 Ga 0.3041 0.9019 0.9019
Ho1 Ho 0.0000 0.7229 0.7229
Ho2 Ho 0.5000 0.2770 0.2770
Y1 Y 0.0000 0.4472 0.4472
Tm1 Tm 0.5000 0.5525 0.5525
```



Record 9
Dy3Tm3Bi2Os | PBE | relaxed

Structure (CIF):
```
data_Dy3Tm3Bi2Os
_symmetry_space_group_name_H-M 'P 1'
_symmetry_Int_Tables_number 1
_symmetry_space_group_name_Hall 'P 1'
_cell_length_a 8.2372
_cell_length_b 8.2372
_cell_length_c 4.2386
_cell_angle_alpha 90.00
_cell_angle_beta 90.00
_cell_angle_gamma 120.00
loop_
_atom_site_label
_atom_site_type_symbol
_atom_site_fract_x
_atom_site_fract_y
_atom_site_fract_z
Bi1 Bi 0.3333 0.6667 0.5000
Bi2 Bi 0.6667 0.3333 0.5000
Tm1 Tm 0.2309 0.0000 0.5000
Tm2 Tm 0.7691 0.7691 0.5000
Tm3 Tm 0.0000 0.2309 0.5000
Os1 Os 0.0000 0.0000 0.0000
Dy1 Dy 0.0000 0.6139 0.0000
Dy2 Dy 0.3861 0.3861 0.0000
Dy3 Dy 0.6139 0.0000 0.0000
```



Record 10
LuNiSbPd | PBE | relaxed

Structure (CIF):
```
data_LuNiSbPd
_symmetry_space_group_name_H-M 'P 1'
_symmetry_Int_Tables_number 1
_symmetry_space_group_name_Hall 'P 1'
_cell_length_a 4.7094
_cell_length_b 4.7094
_cell_length_c 4.7094
_cell_angle_alpha 60.00
_cell_angle_beta 60.00
_cell_angle_gamma 60.00
loop_
_atom_site_label
_atom_site_type_symbol
_atom_site_fract_x
_atom_site_fract_y
_atom_site_fract_z
Sb1 Sb 0.0000 0.0000 0.0000
Lu1 Lu 0.2500 0.2500 0.2500
Ni1 Ni 0.7500 0.7500 0.7500
Pd1 Pd 0.5000 0.5000 0.5000
```



Record 11
Lu4CuSN2 | PBE | relaxed

Structure (CIF):
```
data_Lu4CuSN2
_symmetry_space_group_name_H-M 'P 1'
_symmetry_Int_Tables_number 1
_symmetry_space_group_name_Hall 'P 1'
_cell_length_a 3.4590
_cell_length_b 3.4590
_cell_length_c 12.9700
_cell_angle_alpha 90.00
_cell_angle_beta 90.00
_cell_angle_gamma 120.00
loop_
_atom_site_label
_atom_site_type_symbol
_atom_site_fract_x
_atom_site_fract_y
_atom_site_fract_z
Cu1 Cu 0.0000 0.0000 0.0000
S1 S 0.6667 0.3333 0.5000
Lu1 Lu 0.6667 0.3333 0.8462
Lu2 Lu 0.6667 0.3333 0.1538
Lu3 Lu 0.0000 0.0000 0.6431
Lu4 Lu 0.0000 0.0000 0.3569
N1 N 0.3333 0.6667 0.2678
N2 N 0.3333 0.6667 0.7322
```



Record 12
RbScHg | PBE | relaxed

Structure (CIF):
```
data_RbScHg
_symmetry_space_group_name_H-M 'P 1'
_symmetry_Int_Tables_number 1
_symmetry_space_group_name_Hall 'P 1'
_cell_length_a 5.4132
_cell_length_b 5.4132
_cell_length_c 5.4132
_cell_angle_alpha 60.00
_cell_angle_beta 60.00
_cell_angle_gamma 60.00
loop_
_atom_site_label
_atom_site_type_symbol
_atom_site_fract_x
_atom_site_fract_y
_atom_site_fract_z
Sc1 Sc 0.7500 0.7500 0.7500
Hg1 Hg 0.0000 0.0000 0.0000
Rb1 Rb 0.2500 0.2500 0.2500
```



| no. | raw total energy (Ry/atom) |
| --- | --- |
| 1 | -0.33410 |
| 2 | -0.38753 |
| 3 | -0.44836 |
| 4 | -0.49670 |
| 5 | -0.45041 |
| 6 | -0.58136 |
| 7 | -0.28082 |
| 8 | -0.34270 |
| 9 | -0.42247 |
| 10 | -0.38752 |
| 11 | -0.49301 |
| 12 | -0.14855 |